A plane-wave DFT calculation with PBE was carried out for Cs2SmPbCl6 after structural relaxation.

Computed properties:
Its energy is -38.659 eV per cell. The calculation puts the density of states at the Fermi level at 0.487 states/eV/atom.

```
data_Cs2SmPbCl6
_chemical_formula_sum 'Cs2 Sm1 Pb1 Cl6'
_space_group_name_H-M_alt 'P 1'
_space_group_IT_number 1
_cell_length_a 8.156
_cell_length_b 8.156
_cell_length_c 8.156
_cell_angle_alpha 60.00
_cell_angle_beta 60.00
_cell_angle_gamma 60.00
loop_
_space_group_symop_operation_xyz
'x,y,z'
loop_
_atom_site_label
_atom_site_type_symbol
_atom_site_fract_x
_atom_site_fract_y
_atom_site_fract_z
Cs1 Cs 0.250 0.250 0.250
Cs2 Cs 0.750 0.750 0.750
Sm1 Sm 0.000 0.000 0.000
Pb1 Pb 0.500 0.500 0.500
Cl1 Cl 0.235 0.235 0.765
Cl2 Cl 0.235 0.765 0.235
Cl3 Cl 0.235 0.765 0.765
Cl4 Cl 0.765 0.235 0.235
Cl5 Cl 0.765 0.235 0.765
Cl6 Cl 0.765 0.765 0.235
```

---

A plane-wave DFT calculation with PBE was carried out for SrCa3Hg3 after structural relaxation.

Computed properties:
As for the distance to the lowest polymorph of the same formula: 0.000 eV/atom. Its energy is -11.469 eV per cell. The value obtained for the formation energy is -0.41 eV/atom. The calculation puts the density of states at the Fermi level at 1.120 states/eV/atom.

```
data_SrCa3Hg3
_chemical_formula_sum 'Sr1 Ca3 Hg3'
_space_group_name_H-M_alt 'P 1'
_space_group_IT_number 1
_cell_length_a 6.685
_cell_length_b 6.685
_cell_length_c 6.685
_cell_angle_alpha 109.97
_cell_angle_beta 109.97
_cell_angle_gamma 109.97
loop_
_space_group_symop_operation_xyz
'x,y,z'
loop_
_atom_site_label
_atom_site_type_symbol
_atom_site_fract_x
_atom_site_fract_y
_atom_site_fract_z
Sr1 Sr 0.000 0.000 0.000
Ca1 Ca 0.499 0.499 0.999
Ca2 Ca 0.499 0.999 0.499
Ca3 Ca 0.999 0.499 0.499
Hg1 Hg 0.499 0.999 0.999
Hg2 Hg 0.999 0.499 0.999
Hg3 Hg 0.999 0.999 0.499
```